1.
VASP calculation (PBE-GGA) on a geometry-optimized CeTl2GeS5 structure.

Results
- Density: 5.0 g cm⁻³
- Size of the total moment: 0.11 μB per formula unit
- Formation energy (no corrections): -0.780 eV/atom

abc: 3.9948 9.4781 14.0288
angles: 90.00 90.00 102.17
Last column: nearest neighbours and their distance in Å.
Sites, in units of the cell vectors:
Ce: 0.8018 0.6036 0.5400  5 S 2.55-2.85
S: 0.6975 0.3951 0.1649  2 Ce 2.66
S: 0.9604 0.9207 0.5091  2 Ge 2.43
Tl: 0.1287 0.2575 0.3400  6 S 3.18-3.41
S: 0.5021 0.0043 0.2846  1 Ge 2.13
Tl: 0.1271 0.2541 0.6637  3 S 3.02-3.25
S: 0.4979 0.9957 0.7846  1 Ge 2.13
S: 0.3025 0.6049 0.6649  2 Ce 2.66
Tl: 0.8729 0.7459 0.1637  3 S 3.02-3.25
Ge: 0.5581 0.1163 0.9139  2 S 2.13-2.25
S: 0.6790 0.3580 0.8975  1 Ge 2.25
S: 0.6659 0.3317 0.5103  1 Ce 2.55
Tl: 0.8713 0.7425 0.8400  6 S 3.18-3.41
Ge: 0.4419 0.8837 0.4139  2 S 2.13-2.25
S: 0.3341 0.6683 0.0103  1 Ce 2.55
S: 0.0396 0.0793 0.0091  2 Ge 2.43
Ce: 0.1982 0.3964 0.0400  5 S 2.55-2.85
S: 0.3210 0.6420 0.3975  1 Ge 2.25

2.
VASP calculation (PBE-GGA) on a geometry-optimized CeTlGeS4 structure.

Results
- Density: 4.8 g cm⁻³
- Size of the total moment: 1.01 μB per formula unit
- Formation energy (no corrections): -0.969 eV/atom

abc: 6.6855 6.6615 8.8073
angles: 90.00 106.76 90.00
Last column: nearest neighbours and their distance in Å.
Sites, in units of the cell vectors:
S: 0.5855 0.2500 0.4264  1 Ge 2.24
S: 0.5773 0.2500 0.8411  1 Ge 2.21
Ce: 0.2342 0.2500 0.5559  6 S 2.87-2.95
S: 0.0013 0.0084 0.2834  1 Ge 2.23
S: 0.9987 0.5084 0.7166  1 Ge 2.23
S: 0.9987 0.9916 0.7166  1 Ge 2.23
Ce: 0.7658 0.7500 0.4441  6 S 2.87-2.95
Ge: 0.7775 0.2500 0.6812  4 S 2.21-2.24
S: 0.0013 0.4916 0.2834  1 Ge 2.23
Tl: 0.2631 0.2500 0.0691  8 S 3.26-3.54
Tl: 0.7369 0.7500 0.9309  8 S 3.26-3.54
S: 0.4145 0.7500 0.5736  1 Ge 2.24
Ge: 0.2225 0.7500 0.3188  4 S 2.21-2.24
S: 0.4227 0.7500 0.1589  1 Ge 2.21

3.
VASP calculation (PBE-GGA) on a geometry-optimized Ce3Tl3GeS8 structure.

Results
- Density: 5.2 g cm⁻³
- Size of the total moment: 1.12 μB per formula unit
- Formation energy (no corrections): -1.200 eV/atom

abc: 8.1982 8.1982 8.7923
angles: 117.79 89.99 120.00
Last column: nearest neighbours and their distance in Å.
Sites, in units of the cell vectors:
Tl: 0.5000 0.5000 0.0000  6 S 3.23-3.30
S: 0.7344 0.4688 0.7031  3 Ce 2.80
S: 0.7718 0.0394 0.3112  1 Ge 2.73, 2 Ce 2.76
Tl: 0.0000 0.5000 0.0000  6 S 3.23-3.30
S: 0.7718 0.5436 0.3112  1 Ge 2.73, 2 Ce 2.76
S: 0.2282 0.4564 0.6888  1 Ge 2.73, 2 Ce 2.76
Ce: 0.0000 0.5000 0.5000  6 S 2.76-2.80
S: 0.2677 0.0394 0.3111  1 Ge 2.73, 2 Ce 2.76
S: 0.2656 0.5312 0.2969  3 Ce 2.80
Ce: 0.5000 0.5000 0.5000  6 S 2.76-2.80
Tl: 0.0000 0.0000 0.0000  6 S 3.23-3.30
Ge: 0.0000 0.0000 0.5000  6 S 2.73
S: 0.7323 0.9606 0.6889  1 Ge 2.73, 2 Ce 2.76
S: 0.2282 0.9606 0.6888  1 Ge 2.73, 2 Ce 2.76
Ce: 0.5000 0.0000 0.5000  6 S 2.76-2.80

4.
VASP calculation (PBE-GGA) on a geometry-optimized Ce12Ge6Sb structure.

Results
- Density: 7.6 g cm⁻³
- Size of the total moment: 8.40 μB per formula unit
- Formation energy (no corrections): -0.435 eV/atom

abc: 7.9183 7.9183 7.9183
angles: 95.50 95.50 95.50
Last column: nearest neighbours and their distance in Å.
Sites, in units of the cell vectors:
Sb: 0.0000 0.0000 0.0000  6 Ce 3.01
Ce: 0.1605 0.4444 0.5485  2 Ce 2.83-2.89, 4 Ge 2.97-3.10
Ce: 0.1183 0.3746 0.0117  2 Ce 2.86-2.89, 1 Sb 3.01, 2 Ge 3.10-3.20
Ge: 0.8471 0.2768 0.6996  7 Ce 2.97-3.28
Ce: 0.8395 0.5556 0.4515  2 Ce 2.83-2.89, 4 Ge 2.97-3.10
Ge: 0.6996 0.8471 0.2768  7 Ce 2.97-3.28
Ge: 0.3004 0.1529 0.7232  7 Ce 2.97-3.28
Ge: 0.2768 0.6996 0.8471  7 Ce 2.97-3.28
Ge: 0.1529 0.7232 0.3004  7 Ce 2.97-3.28
Ce: 0.4515 0.8395 0.5556  2 Ce 2.83-2.89, 4 Ge 2.97-3.10
Ce: 0.9883 0.8817 0.6254  2 Ce 2.86-2.89, 1 Sb 3.01, 2 Ge 3.10-3.20
Ce: 0.6254 0.9883 0.8817  2 Ce 2.86-2.89, 1 Sb 3.01, 2 Ge 3.10-3.20
Ce: 0.4444 0.5485 0.1605  2 Ce 2.83-2.89, 4 Ge 2.97-3.10
Ce: 0.8817 0.6254 0.9883  2 Ce 2.86-2.89, 1 Sb 3.01, 2 Ge 3.10-3.20
Ce: 0.5556 0.4515 0.8395  2 Ce 2.83-2.89, 4 Ge 2.97-3.10
Ce: 0.3746 0.0117 0.1183  2 Ce 2.86-2.89, 1 Sb 3.01, 2 Ge 3.10-3.20
Ge: 0.7232 0.3004 0.1529  7 Ce 2.97-3.28
Ce: 0.5485 0.1605 0.4444  2 Ce 2.83-2.89, 4 Ge 2.97-3.10
Ce: 0.0117 0.1183 0.3746  2 Ce 2.86-2.89, 1 Sb 3.01, 2 Ge 3.10-3.20

5.
VASP calculation (PBE-GGA) on a geometry-optimized Ce2GeSb structure.

Results
- Density: 6.9 g cm⁻³
- Size of the total moment: 1.60 μB per formula unit
- Formation energy (no corrections): -0.815 eV/atom
- Polymorph energy (0 for the lowest one): 35 meV/atom

abc: 4.3245 4.4627 12.0780
angles: 100.65 90.00 90.00
Last column: nearest neighbours and their distance in Å.
Sites, in units of the cell vectors:
Ce: 0.7500 0.6770 0.3540  5 Sb 3.12-3.17, 1 Ge 3.17
Ge: 0.2500 0.4567 0.9133  2 Ge 2.99, 7 Ce 3.13-3.30
Sb: 0.7500 0.8104 0.6207  6 Ce 3.10-3.17
Sb: 0.2500 0.1896 0.3793  6 Ce 3.10-3.17
Ge: 0.7500 0.5433 0.0867  2 Ge 2.99, 7 Ce 3.13-3.30
Ce: 0.2500 0.0590 0.1181  1 Sb 3.10, 6 Ge 3.13-3.30
Ce: 0.2500 0.3230 0.6460  5 Sb 3.12-3.17, 1 Ge 3.17
Ce: 0.7500 0.9410 0.8819  1 Sb 3.10, 6 Ge 3.13-3.30

6.
VASP calculation (PBE-GGA) on a geometry-optimized Ce4GeSb3 structure.

Results
- Density: 7.3 g cm⁻³
- Size of the total moment: 5.40 μB per formula unit
- Formation energy (no corrections): -0.457 eV/atom
- Polymorph energy (0 for the lowest one): 465 meV/atom

abc: 5.8170 5.8708 8.0985
angles: 116.02 111.05 90.00
Last column: nearest neighbours and their distance in Å.
Sites, in units of the cell vectors:
Sb: 0.3457 0.9241 0.6913  1 Sb 3.08, 5 Ce 3.20-3.29
Ce: 0.2385 0.2986 0.4770  1 Ge 3.18, 5 Sb 3.20-3.55, 1 Ce 3.30
Ce: 0.8965 0.3361 0.7929  1 Ce 2.80, 1 Ge 3.04
Ce: 0.7615 0.7014 0.5230  1 Ge 3.18, 5 Sb 3.20-3.55, 1 Ce 3.30
Sb: 0.6543 0.0759 0.3087  1 Sb 3.08, 5 Ce 3.20-3.29
Ce: 0.1035 0.6639 0.2071  1 Ce 2.80, 1 Ge 3.04
Ge: 0.0000 0.0000 0.0000  4 Ce 3.04-3.18
Sb: 0.5000 0.5000 0.0000  2 Sb 3.08, 4 Ce 3.23

7.
VASP calculation (PBE-GGA) on a geometry-optimized Ce6GeSb2 structure.

Results
- Density: 7.5 g cm⁻³
- Size of the total moment: 6.82 μB per formula unit
- Formation energy (no corrections): -0.657 eV/atom

abc: 4.2390 8.4842 8.2748
angles: 120.84 90.00 90.00
Last column: nearest neighbours and their distance in Å.
Sites, in units of the cell vectors:
Sb: 0.0000 0.6833 0.3719  9 Ce 3.15-3.40
Ce: 0.5000 0.5343 0.0000  2 Ce 2.94
Ce: 0.5000 0.0072 0.6002  1 Ge 3.15, 4 Sb 3.21-3.26
Sb: 0.0000 0.3115 0.6281  9 Ce 3.15-3.40
Ce: 0.5000 0.4070 0.3998  1 Ge 3.15, 4 Sb 3.21-3.26
Ce: 0.0000 0.9546 0.1946  1 Ce 2.76, 2 Ge 3.00
Ce: 0.0000 0.2946 0.0000  2 Ce 2.94, 2 Ge 2.98, 2 Sb 3.15
Ce: 0.0000 0.7600 0.8054  1 Ce 2.76, 2 Ge 3.00
Ge: 0.5000 0.0476 0.0000  8 Ce 2.98-3.15

8.
VASP calculation (PBE-GGA) on a geometry-optimized Ce8Ge2Sb3 structure.

Results
- Density: 6.8 g cm⁻³
- Size of the total moment: 9.65 μB per formula unit
- Formation energy (no corrections): -0.516 eV/atom

abc: 5.3106 10.3468 8.8720
angles: 125.67 90.01 90.00
Last column: nearest neighbours and their distance in Å.
Sites, in units of the cell vectors:
Ce: 0.4999 0.1121 0.7342  2 Ge 3.09, 3 Sb 3.18-3.29, 1 Ce 3.38
Ge: 0.5000 0.7441 0.4882  8 Ce 2.98-3.26
Sb: 0.5000 0.0000 0.0000  8 Ce 3.18-3.21
Ge: 0.5000 0.2559 0.5118  8 Ce 2.98-3.26
Ce: 0.4999 0.6220 0.7342  2 Ge 3.09, 3 Sb 3.18-3.29, 1 Ce 3.38
Ce: 0.9999 0.8752 0.7503  4 Sb 3.21-3.37, 1 Ce 3.25, 2 Ge 3.26
Ce: 0.0001 0.3500 0.6999  2 Ge 2.98, 2 Sb 3.18, 1 Ce 3.25
Ce: 0.0001 0.1248 0.2497  4 Sb 3.21-3.37, 1 Ce 3.25, 2 Ge 3.26
Ce: 0.5001 0.3780 0.2658  2 Ge 3.09, 3 Sb 3.18-3.29, 1 Ce 3.38
Sb: 0.0000 0.7247 0.0000  8 Ce 3.18-3.37
Sb: 0.0000 0.2753 0.0000  8 Ce 3.18-3.37
Ce: 0.9999 0.6500 0.3001  2 Ge 2.98, 2 Sb 3.18, 1 Ce 3.25
Ce: 0.5001 0.8879 0.2658  2 Ge 3.09, 3 Sb 3.18-3.29, 1 Ce 3.38

9.
VASP calculation (PBE-GGA) on a geometry-optimized Ce10Ge3Sb3 structure.

Results
- Density: 7.3 g cm⁻³
- Size of the total moment: 10.01 μB per formula unit
- Formation energy (no corrections): -0.683 eV/atom

abc: 6.2705 9.0957 9.0957
angles: 120.00 90.00 90.00
Last column: nearest neighbours and their distance in Å.
Sites, in units of the cell vectors:
Ce: 0.0000 0.2586 0.0000  3 Sb 3.11-3.21, 2 Ge 3.31
Ce: 0.7230 0.6667 0.3333  1 Ce 2.80
Ge: 0.5000 0.6245 0.6245  9 Ce 3.03-3.34
Ce: 0.2770 0.3333 0.6667  1 Ce 2.80
Ce: 0.5000 0.0000 0.7423  3 Ge 3.03-3.34, 2 Sb 3.35
Ge: 0.5000 0.3755 0.0000  9 Ce 3.03-3.34
Ce: 0.2770 0.6667 0.3333  1 Ce 2.80
Sb: 0.0000 0.3881 0.3881  9 Ce 3.11-3.35
Ce: 0.5000 0.7423 0.0000  3 Ge 3.03-3.34, 2 Sb 3.35
Sb: 0.0000 0.0000 0.6119  9 Ce 3.11-3.35
Ce: 0.7230 0.3333 0.6667  1 Ce 2.80
Ce: 0.5000 0.2577 0.2577  3 Ge 3.03-3.34, 2 Sb 3.35
Ce: 0.0000 0.7414 0.7414  3 Sb 3.11-3.21, 2 Ge 3.31
Ce: 0.0000 0.0000 0.2586  3 Sb 3.11-3.21, 2 Ge 3.31
Ge: 0.5000 0.0000 0.3755  9 Ce 3.03-3.34
Sb: 0.0000 0.6119 0.0000  9 Ce 3.11-3.35

10.
VASP calculation (PBE-GGA) on a geometry-optimized Ce2GeSb structure.

Results
- Density: 7.7 g cm⁻³
- Size of the total moment: 1.45 μB per formula unit
- Formation energy (no corrections): -0.720 eV/atom
- Polymorph energy (0 for the lowest one): 130 meV/atom

abc: 3.2187 5.6424 5.6424
angles: 90.00 90.00 90.00
Last column: nearest neighbours and their distance in Å.
Sites, in units of the cell vectors:
Ge: 0.5000 0.0000 0.0000  2 Ge 3.22, 8 Ce 3.25
Ce: 0.0000 0.5000 0.0000  2 Ce 3.22, 4 Sb 3.25, 4 Ge 3.25
Ce: 0.0000 0.0000 0.5000  2 Ce 3.22, 4 Ge 3.25, 4 Sb 3.25
Sb: 0.5000 0.5000 0.5000  2 Sb 3.22, 8 Ce 3.25

11.
VASP calculation (PBE-GGA) on a geometry-optimized Ce2GeSb structure.

Results
- Density: 7.1 g cm⁻³
- Size of the total moment: 1.21 μB per formula unit
- Formation energy (no corrections): -0.774 eV/atom
- Polymorph energy (0 for the lowest one): 76 meV/atom

abc: 4.2703 4.5106 6.1196
angles: 90.00 110.42 90.00
Last column: nearest neighbours and their distance in Å.
Sites, in units of the cell vectors:
Ce: 0.9500 0.0000 0.4390  1 Ge 2.97, 4 Sb 3.13
Ce: 0.2075 0.5000 0.9539  4 Ge 3.11, 3 Sb 3.15-3.35
Sb: 0.4825 0.5000 0.5040  7 Ce 3.13-3.35, 2 Ge 3.29
Ge: 0.6911 0.0000 0.9211  5 Ce 2.97-3.11, 2 Sb 3.29